i) CsTaBi2P: optimized geometry, PBE.

Computed properties:
SG	P4/mmm (123)
total moment	3.0	μB/f.u.

Cell lengths 5.4892, 5.4892, 5.5699 Å; angles 90.00, 90.00, 90.00 degrees
With the nearest neighbours (Å) after each atom.
Atoms (fractional coordinates):
Cs1 0.0000 0.0000 0.0000  2 P 2.78
Ta1 0.5000 0.5000 0.0000  4 Cs 3.88, 8 Bi 3.91
Bi1 0.0000 0.5000 0.5000  2 P 2.74
Bi2 0.5000 0.0000 0.5000  2 P 2.74
P1 0.0000 0.0000 0.5000  4 Bi 2.74, 2 Cs 2.78

***

ii) CsTaBi2P: optimized geometry, PBE.

Computed properties:
SG	P4/mmm (123)
total moment	3.6	μB/f.u.

Cell lengths 5.4768, 5.4768, 7.4656 Å; angles 90.00, 90.00, 90.00 degrees
With the nearest neighbours (Å) after each atom.
Atoms (fractional coordinates):
Cs1 0.0000 0.0000 0.0000  2 Ta 3.73, 4 P 3.87
Ta1 0.0000 0.0000 0.5000  4 Bi 2.74
Bi1 0.0000 0.5000 0.5000  2 Ta 2.74
Bi2 0.5000 0.0000 0.5000  2 Ta 2.74
P1 0.5000 0.5000 0.0000  4 Cs 3.87

***

Stability check: which of them is most stable? ii).